Record 1
Na2MnCl4: relaxed, PBE.

Computed properties:
**ρ**: 2.3 Mg/m³
**V**: 25.165 A^3/atom
**Formation energy from raw total energies**: -1.506 eV/atom
**Space-group type**: No. 65
**DOS(E_F)**: 0.00 states/eV per atom

Cell lengths 3.851, 6.938, 6.938 Å; angles 108.14, 90.00, 90.00 degrees
Fractional positions:
Na 0.500 0.000 0.500
Na 0.500 0.500 0.000
Mn 0.000 0.000 0.000
Cl 0.000 0.774 0.226
Cl 0.500 0.787 0.787
Cl 0.500 0.213 0.213
Cl 0.000 0.226 0.774

Record 2
Na2Mn2Cl: relaxed, PBE.

Computed properties:
**ρ**: 2.8 Mg/m³
**V**: 22.378 A^3/atom
**Formation energy from raw total energies**: 0.351 eV/atom
**Space-group type**: No. 127
**DOS(E_F)**: 1.21 states/eV per atom

Cell lengths 6.728, 6.728, 4.944 Å; angles 90.00, 90.00, 90.00 degrees
Fractional positions:
Na 0.165 0.665 0.500
Na 0.665 0.835 0.500
Na 0.835 0.335 0.500
Na 0.335 0.165 0.500
Mn 0.363 0.863 0.000
Mn 0.863 0.637 0.000
Mn 0.637 0.137 0.000
Mn 0.137 0.363 0.000
Cl 0.000 0.000 0.000
Cl 0.500 0.500 0.000

Record 3
NaNdMnCl6: relaxed, PBE.

Computed properties:
**ρ**: 3.0 Mg/m³
**V**: 26.464 A^3/atom
**Formation energy from raw total energies**: -1.519 eV/atom
**Space-group type**: No. 163

Cell lengths 6.634, 6.634, 12.497 Å; angles 90.00, 90.00, 120.00 degrees
Fractional positions:
Na 0.000 0.000 0.000
Na 0.000 0.000 0.500
Nd 0.333 0.667 0.250
Nd 0.667 0.333 0.750
Mn 0.667 0.333 0.250
Mn 0.333 0.667 0.750
Cl 0.667 0.629 0.135
Cl 0.962 0.333 0.135
Cl 0.333 0.962 0.635
Cl 0.038 0.667 0.865
Cl 0.371 0.333 0.365
Cl 0.962 0.629 0.365
Cl 0.629 0.962 0.865
Cl 0.667 0.038 0.365
Cl 0.038 0.371 0.635
Cl 0.371 0.038 0.135
Cl 0.629 0.667 0.635
Cl 0.333 0.371 0.865

Record 4
NaMn2NiCl8: relaxed, PBE.

Computed properties:
**ρ**: 2.6 Mg/m³
**V**: 24.997 A^3/atom
**Formation energy from raw total energies**: -0.922 eV/atom
**Space-group type**: No. 147
**DOS(E_F)**: 0.50 states/eV per atom

Cell lengths 6.435, 6.435, 8.363 Å; angles 90.00, 90.00, 120.00 degrees
Fractional positions:
Na 0.000 0.000 0.000
Mn 0.667 0.333 0.275
Mn 0.333 0.667 0.725
Ni 0.000 0.000 0.500
Cl 0.333 0.667 0.991
Cl 0.293 0.299 0.330
Cl 0.701 0.995 0.330
Cl 0.667 0.333 0.009
Cl 0.299 0.005 0.670
Cl 0.707 0.701 0.670
Cl 0.995 0.293 0.670
Cl 0.005 0.707 0.330

Record 5
Na2MnNiCl6: relaxed, PBE.

Computed properties:
**ρ**: 2.8 Mg/m³
**V**: 22.069 A^3/atom
**Formation energy from raw total energies**: -1.155 eV/atom
**Space-group type**: No. 146
**DOS(E_F)**: 0.10 states/eV per atom

Cell lengths 6.678, 6.678, 6.894 Å; angles 61.03, 61.03, 60.00 degrees
Fractional positions:
Na 0.532 0.532 0.405
Na 0.028 0.028 0.915
Mn 0.818 0.818 0.545
Ni 0.322 0.322 0.035
Cl 0.574 0.186 0.264
Cl 0.186 0.976 0.264
Cl 0.976 0.574 0.264
Cl 0.460 0.675 0.774
Cl 0.675 0.091 0.774
Cl 0.091 0.460 0.774

Record 6
NaNpMnCl6: relaxed, PBE.

Computed properties:
**ρ**: 3.5 Mg/m³
**V**: 27.889 A^3/atom
**Formation energy from raw total energies**: -1.511 eV/atom
**Space-group type**: No. 163
**DOS(E_F)**: 0.94 states/eV per atom

Cell lengths 6.810, 6.810, 12.501 Å; angles 90.00, 90.00, 120.00 degrees
Fractional positions:
Na 0.000 0.000 0.000
Na 0.000 0.000 0.500
Np 0.333 0.667 0.250
Np 0.667 0.333 0.750
Mn 0.667 0.333 0.250
Mn 0.333 0.667 0.750
Cl 0.658 0.636 0.133
Cl 0.978 0.342 0.133
Cl 0.342 0.978 0.633
Cl 0.022 0.658 0.867
Cl 0.364 0.342 0.367
Cl 0.978 0.636 0.367
Cl 0.636 0.978 0.867
Cl 0.658 0.022 0.367
Cl 0.022 0.364 0.633
Cl 0.364 0.022 0.133
Cl 0.636 0.658 0.633
Cl 0.342 0.364 0.867

Record 7
Na2NpMnCl8: relaxed, PBE.

Computed properties:
**ρ**: 3.1 Mg/m³
**V**: 27.790 A^3/atom
**Formation energy from raw total energies**: -1.536 eV/atom
**Space-group type**: No. 10
**DOS(E_F)**: 0.39 states/eV per atom

Cell lengths 6.531, 6.323, 8.106 Å; angles 89.99, 90.01, 94.95 degrees
Fractional positions:
Na 0.500 0.500 0.733
Na 0.500 0.500 0.267
Np 0.000 0.000 0.000
Mn 0.000 0.000 0.500
Cl 0.156 0.790 0.246
Cl 0.673 0.734 0.000
Cl 0.844 0.210 0.246
Cl 0.844 0.210 0.754
Cl 0.327 0.266 0.000
Cl 0.156 0.790 0.754
Cl 0.707 0.752 0.500
Cl 0.293 0.248 0.500

Question: Look up the V of the third one.
Answer: 26.464 A^3/atom